Here is LaHf2MoO8 after structural relaxation from the Alexandria database. Energies are from PBE with a Hubbard U.

Calculated values
total magnetization: 0.083 μB per atom
final energy: -8.886 eV per atom

abc: 6.935 7.085 6.679
angles: 90.00 90.34 90.00
Space group C2/m (No. 12)
Unique sites:
La (0.000, 0.000, 0.000) [2 per cell]
Hf (0.004, 0.500, 0.744) [4 per cell]
Mo (0.000, 0.000, 0.500) [2 per cell]
O (0.000, 0.300, 0.500) [4 per cell]
O (0.000, 0.327, 0.000) [4 per cell]
O (0.198, 0.000, 0.705) [4 per cell]
O (0.203, 0.000, 0.286) [4 per cell]